(1)
VASP calculation (PBE-GGA) on Rb3U2I9 after structural relaxation.

The space group is R-3c (No. 167, hexagonal axes) and the conventional cell measures 14.9645, 14.9645 and 21.1487 Å, with angles of 90.00, 90.00 and 120.00 degrees. The asymmetric unit holds Rb at (0.0000, 0.3613, 0.2500), U at (0.0000, 0.0000, 0.1629), I at (0.0000, 0.1706, 0.7500) and I at (0.0034, 0.1764, 0.4123).

The density of states at the Fermi level comes out at 85.3 states/eV per cell. The uncorrected energy comes out at -3.903 eV/atom. Its crystal system is trigonal. The total magnetization is 0.43 μB per atom.

(2)
VASP calculation (PBE-GGA) on Rb2UI4 after structural relaxation.

The space group is I4/mmm (No. 139) and the conventional cell measures 6.1536, 6.1536 and 18.6697 Å, with angles of 90.00, 90.00 and 90.00 degrees. The asymmetric unit holds Rb at (0.0000, 0.0000, 0.1348), U at (0.0000, 0.0000, 0.5000), I at (0.0000, 0.0000, 0.3298) and I at (0.0000, 0.5000, 0.0000).

The density of states at the Fermi level comes out at 16.6 states/eV per cell. The uncorrected energy comes out at -3.721 eV/atom. Its crystal system is tetragonal. The total magnetization is 0.57 μB per atom.